(1)
Compound: TlSbI2O
Source: Alexandria via LeMat-Bulk
Functional: PBEsol
Structure: relaxed

Cell and atoms, written as extended XYZ:
```
5
Lattice="5.980 0.000 0.000 0.000 5.980 0.000 0.000 0.000 5.726" Properties=species:S:1:pos:R:3 pbc="T T T"
Tl 0.000 0.000 0.000
Sb 0.000 0.000 2.863
I 0.000 2.990 0.000
I 2.990 0.000 0.000
O 2.990 2.990 2.863
```

Output
Calculated volume   40.95 Å³/atom
Uncorrected energy   -2.2345 eV/atom
Energy relative to the elements, uncorrected   0.960 eV/atom

***

(2)
Compound: TlSbI2O
Source: Alexandria via LeMat-Bulk
Functional: PBEsol
Structure: relaxed

Cell and atoms, written as extended XYZ:
```
5
Lattice="6.227 0.000 0.000 0.000 6.227 0.000 0.000 0.000 3.993" Properties=species:S:1:pos:R:3 pbc="T T T"
Tl 0.000 0.000 0.000
Sb 3.113 3.113 0.000
I 0.000 3.113 1.997
I 3.113 0.000 1.997
O 3.113 3.113 1.997
```

Output
Calculated volume   30.96 Å³/atom
Uncorrected energy   -3.3290 eV/atom
Energy relative to the elements, uncorrected   -0.135 eV/atom

***

(3)
Compound: YSb2IO
Source: Alexandria via LeMat-Bulk
Functional: PBEsol
Structure: relaxed

Cell and atoms, written as extended XYZ:
```
5
Lattice="4.464 0.000 0.000 0.000 4.464 0.000 0.000 0.000 5.927" Properties=species:S:1:pos:R:3 pbc="T T T"
Y 0.000 0.000 0.000
Sb 0.000 2.232 2.963
Sb 2.232 0.000 2.963
I 2.232 2.232 0.000
O 2.232 2.232 2.963
```

Output
Calculated volume   23.62 Å³/atom
Uncorrected energy   -5.1562 eV/atom
Energy relative to the elements, uncorrected   -0.566 eV/atom

***

(4)
Compound: ScI2O2
Source: Alexandria via LeMat-Bulk
Functional: PBEsol
Structure: relaxed

Cell and atoms, written as extended XYZ:
```
5
Lattice="4.098 0.000 0.000 0.000 4.098 0.000 0.000 0.000 6.846" Properties=species:S:1:pos:R:3 pbc="T T T"
Sc 0.000 0.000 0.000
I 2.049 2.049 0.000
I 2.049 2.049 3.423
O 0.000 2.049 3.423
O 2.049 0.000 3.423
```

Output
Calculated volume   23.00 Å³/atom
Uncorrected energy   -4.2229 eV/atom
Energy relative to the elements, uncorrected   -0.095 eV/atom

***

(5)
Compound: ScSeIO2
Source: Alexandria via LeMat-Bulk
Functional: PBEsol
Structure: relaxed

Cell and atoms, written as extended XYZ:
```
5
Lattice="4.015 0.000 0.000 0.000 4.015 0.000 0.000 0.000 6.516" Properties=species:S:1:pos:R:3 pbc="T T T"
Sc 0.000 0.000 0.000
Se 2.007 2.007 3.258
I 0.000 0.000 3.258
O 0.000 2.007 0.000
O 2.007 0.000 0.000
```

Output
Calculated volume   21.00 Å³/atom
Uncorrected energy   -5.5887 eV/atom
Energy relative to the elements, uncorrected   -1.045 eV/atom

***

(6)
Compound: ScSnI2O
Source: Alexandria via LeMat-Bulk
Functional: PBEsol
Structure: relaxed

Cell and atoms, written as extended XYZ:
```
5
Lattice="6.040 0.000 0.000 0.000 6.040 0.000 0.000 0.000 4.000" Properties=species:S:1:pos:R:3 pbc="T T T"
Sc 0.000 0.000 0.000
Sn 3.020 3.020 2.000
I 0.000 3.020 2.000
I 3.020 0.000 2.000
O 3.020 3.020 0.000
```

Output
Calculated volume   29.18 Å³/atom
Uncorrected energy   -4.2120 eV/atom
Energy relative to the elements, uncorrected   -0.283 eV/atom

***

(7)
Compound: ScTcI2O
Source: Alexandria via LeMat-Bulk
Functional: PBEsol
Structure: relaxed

Cell and atoms, written as extended XYZ:
```
5
Lattice="5.489 0.000 0.000 0.000 5.489 0.000 0.000 0.000 3.696" Properties=species:S:1:pos:R:3 pbc="T T T"
Sc 0.000 0.000 0.000
Tc 2.745 2.745 1.848
I 0.000 2.745 1.848
I 2.745 0.000 1.848
O 2.745 2.745 0.000
```

Output
Calculated volume   22.27 Å³/atom
Uncorrected energy   -5.7049 eV/atom
Energy relative to the elements, uncorrected   -0.374 eV/atom

***

(8)
Compound: ScTiI2O
Source: Alexandria via LeMat-Bulk
Functional: PBEsol
Structure: relaxed

Cell and atoms, written as extended XYZ:
```
5
Lattice="5.759 0.000 0.000 0.000 5.759 0.000 0.000 0.000 3.806" Properties=species:S:1:pos:R:3 pbc="T T T"
Sc 0.000 0.000 0.000
Ti 2.879 2.879 1.903
I 0.000 2.879 0.000
I 2.879 0.000 0.000
O 0.000 0.000 1.903
```

Output
Calculated volume   25.24 Å³/atom
Uncorrected energy   -5.6477 eV/atom
Energy relative to the elements, uncorrected   -0.906 eV/atom

***

(9)
Compound: ScTlIO2
Source: Alexandria via LeMat-Bulk
Functional: PBEsol
Structure: relaxed

Cell and atoms, written as extended XYZ:
```
5
Lattice="4.224 0.000 0.000 0.000 4.224 0.000 0.000 0.000 5.873" Properties=species:S:1:pos:R:3 pbc="T T T"
Sc 0.000 0.000 0.000
Tl 2.112 2.112 2.936
I 0.000 0.000 2.936
O 0.000 2.112 0.000
O 2.112 0.000 0.000
```

Output
Calculated volume   20.96 Å³/atom
Uncorrected energy   -5.5947 eV/atom
Energy relative to the elements, uncorrected   -1.295 eV/atom

***

(10)
Compound: ZrScI2O
Source: Alexandria via LeMat-Bulk
Functional: PBEsol
Structure: relaxed

Cell and atoms, written as extended XYZ:
```
5
Lattice="5.781 0.000 0.000 0.000 5.781 0.000 0.000 0.000 3.917" Properties=species:S:1:pos:R:3 pbc="T T T"
Zr 0.000 0.000 0.000
Sc 2.891 2.891 1.959
I 0.000 2.891 0.000
I 2.891 0.000 0.000
O 0.000 0.000 1.959
```

Output
Calculated volume   26.19 Å³/atom
Uncorrected energy   -5.8386 eV/atom
Energy relative to the elements, uncorrected   -0.943 eV/atom

***

(11)
Compound: SeIO2
Source: Alexandria via LeMat-Bulk
Functional: PBEsol
Structure: relaxed

Cell and atoms, written as extended XYZ:
```
8
Lattice="0.000 4.331 4.331 4.331 0.000 4.331 4.331 4.331 0.000" Properties=species:S:1:pos:R:3 pbc="T T T"
Se 1.083 1.083 1.083
Se 7.579 7.579 7.579
I 3.248 3.248 3.248
I 5.414 5.414 5.414
O 0.000 0.000 0.000
O 2.165 2.165 0.000
O 2.165 0.000 2.165
O 0.000 2.165 2.165
```

Output
Calculated volume   20.31 Å³/atom
Uncorrected energy   -4.0028 eV/atom
Energy relative to the elements, uncorrected   0.026 eV/atom

***

(12)
Compound: SeI2O2
Source: Alexandria via LeMat-Bulk
Functional: PBEsol
Structure: relaxed

Cell and atoms, written as extended XYZ:
```
5
Lattice="4.031 0.000 0.000 0.000 4.031 0.000 0.000 0.000 7.326" Properties=species:S:1:pos:R:3 pbc="T T T"
Se 0.000 0.000 0.000
I 2.015 2.015 0.000
I 2.015 2.015 3.663
O 0.000 2.015 3.663
O 2.015 0.000 3.663
```

Output
Calculated volume   23.80 Å³/atom
Uncorrected energy   -3.4494 eV/atom
Energy relative to the elements, uncorrected   0.127 eV/atom

***

The highest energy relative to the elements, uncorrected belongs to which entry?
number 1